# 1
This record from OQMD describes a relaxed TaZn crystal. The functional is PBE.

Output
**Mass density**: 12.42 Mg/m³

CIF file:
```
data_TaZn
_space_group_name_H-M_alt 'P m m n'
_space_group_IT_number 59
_cell_length_a 4.4644
_cell_length_b 5.5193
_cell_length_c 10.6955
_cell_angle_alpha 90.00
_cell_angle_beta 90.00
_cell_angle_gamma 90.00
loop_
_space_group_symop_operation_xyz
'x,y,z'
'-x,-y,-z'
'-x+1/2,-y+1/2,z'
'x+1/2,y+1/2,-z'
'x+1/2,-y,-z'
'-x+1/2,y,z'
'-x,y+1/2,-z'
'x,-y+1/2,z'
loop_
_atom_site_label
_atom_site_type_symbol
_atom_site_fract_x
_atom_site_fract_y
_atom_site_fract_z
Ta1 Ta 0.2500 0.0076 0.0822
Ta2 Ta 0.2500 0.7500 0.3099
Ta3 Ta 0.2500 0.7500 0.8060
Zn1 Zn 0.2500 0.2500 0.3496
Zn2 Zn 0.2500 0.2500 0.8400
Zn3 Zn 0.2500 0.5026 0.5687
```


# 2
This record from OQMD describes a relaxed Ta3Zn4 crystal. The functional is PBE.

Output
**ΔE to the lowest computed polymorph**: 104 meV/atom
**Mass density**: 11.45 Mg/m³

CIF file:
```
data_Ta3Zn4
_space_group_name_H-M_alt 'P 1 21/m 1'
_space_group_IT_number 11
_cell_length_a 7.4646
_cell_length_b 4.8275
_cell_length_c 7.4687
_cell_angle_alpha 90.00
_cell_angle_beta 119.88
_cell_angle_gamma 90.00
loop_
_space_group_symop_operation_xyz
'x,y,z'
'-x,-y,-z'
'-x,y+1/2,-z'
'x,-y+1/2,z'
loop_
_atom_site_label
_atom_site_type_symbol
_atom_site_fract_x
_atom_site_fract_y
_atom_site_fract_z
Ta1 Ta 0.0516 0.2500 0.3180
Ta2 Ta 0.1828 0.2500 0.7346
Ta3 Ta 0.2333 0.7500 0.5512
Zn1 Zn 0.0971 0.7500 0.1098
Zn2 Zn 0.3337 0.2500 0.1670
Zn3 Zn 0.3900 0.7500 0.9870
Zn4 Zn 0.4871 0.2500 0.5970
```


# 3
This record from OQMD describes a relaxed TaZn crystal. The functional is PBE.

Output
**Mass density**: 12.34 Mg/m³

CIF file:
```
data_TaZn
_space_group_name_H-M_alt 'P m m n'
_space_group_IT_number 59
_cell_length_a 4.5780
_cell_length_b 12.6172
_cell_length_c 4.5914
_cell_angle_alpha 90.00
_cell_angle_beta 90.00
_cell_angle_gamma 90.00
loop_
_space_group_symop_operation_xyz
'x,y,z'
'-x,-y,-z'
'-x+1/2,-y+1/2,z'
'x+1/2,y+1/2,-z'
'x+1/2,-y,-z'
'-x+1/2,y,z'
'-x,y+1/2,-z'
'x,-y+1/2,z'
loop_
_atom_site_label
_atom_site_type_symbol
_atom_site_fract_x
_atom_site_fract_y
_atom_site_fract_z
Ta1 Ta 0.2500 0.0000 0.2321
Ta2 Ta 0.2500 0.1314 0.7407
Zn1 Zn 0.2500 0.2500 0.2370
Zn2 Zn 0.2500 0.6251 0.7276
Zn3 Zn 0.2500 0.7500 0.2270
```


# 4
This record from OQMD describes a relaxed TaZn crystal. The functional is PBE.

Output
**Mass density**: 12.29 Mg/m³

CIF file:
```
data_TaZn
_space_group_name_H-M_alt 'P 1 21/m 1'
_space_group_IT_number 11
_cell_length_a 5.6672
_cell_length_b 4.5489
_cell_length_c 8.0754
_cell_angle_alpha 90.00
_cell_angle_beta 106.39
_cell_angle_gamma 90.00
loop_
_space_group_symop_operation_xyz
'x,y,z'
'-x,-y,-z'
'-x,y+1/2,-z'
'x,-y+1/2,z'
loop_
_atom_site_label
_atom_site_type_symbol
_atom_site_fract_x
_atom_site_fract_y
_atom_site_fract_z
Ta1 Ta 0.0959 0.2500 0.2457
Ta2 Ta 0.2221 0.7500 0.0924
Ta3 Ta 0.2618 0.2500 0.9052
Zn1 Zn 0.0646 0.7500 0.4431
Zn2 Zn 0.4175 0.7500 0.7630
Zn3 Zn 0.4495 0.2500 0.5799
```


| no. | formation energy from the elements (eV/atom) | size of the total moment (μB per cell) | raw total energy (eV/atom) |
| --- | --- | --- | --- |
| 1 | 0.11 | 0.005 | -6.452 |
| 2 | 0.14 | 0.024 | -5.658 |
| 3 | 0.14 | 0.010 | -6.421 |
| 4 | 0.08 | 0.022 | -6.479 |